Record 1
Entry from Alexandria via LeMat-Bulk: crystalline NaSn2Pd2 at its relaxed geometry (PBE).

Unit cell a=4.6694 b=4.6694 c=10.8942 alpha=90.00 beta=90.00 gamma=90.00
Fractional positions:
Na  0.0000  0.0000  0.0000
Na  0.5000  0.5000  0.5000
Sn  0.0000  0.0000  0.3664
Sn  0.0000  0.0000  0.6336
Sn  0.5000  0.5000  0.1336
Sn  0.5000  0.5000  0.8664
Pd  0.0000  0.5000  0.2500
Pd  0.0000  0.5000  0.7500
Pd  0.5000  0.0000  0.2500
Pd  0.5000  0.0000  0.7500

The calculated volume is 23.753 A^3/atom. The theoretical density comes out at 6.62 g/cm³. The magnetization is 0.0000 μB/atom. The total energy is -4.329 eV per atom. Its formation energy is -387 meV/atom.


Record 2
Entry from Alexandria via LeMat-Bulk: crystalline NaSn3Pd6 at its relaxed geometry (PBE).

Unit cell a=7.3913 b=7.3913 c=7.1755 alpha=90.00 beta=90.00 gamma=101.06
Fractional positions:
Na  0.2168  0.7832  0.5000
Na  0.7832  0.2168  0.0000
Sn  0.0551  0.2887  0.4068
Sn  0.2887  0.0551  0.9068
Sn  0.4479  0.5521  0.8092
Sn  0.5521  0.4479  0.3092
Sn  0.7113  0.9449  0.4068
Sn  0.9449  0.7113  0.9068
Pd  0.0260  0.9740  0.1984
Pd  0.0756  0.4359  0.7514
Pd  0.2432  0.3535  0.0940
Pd  0.2705  0.7295  0.0710
Pd  0.3535  0.2432  0.5940
Pd  0.4359  0.0756  0.2514
Pd  0.5641  0.9244  0.7514
Pd  0.6465  0.7568  0.0940
Pd  0.7295  0.2705  0.5710
Pd  0.7568  0.6465  0.5940
Pd  0.9244  0.5641  0.2514
Pd  0.9740  0.0260  0.6984

The calculated volume is 19.236 A^3/atom. The theoretical density comes out at 8.78 g/cm³. The magnetization is 0.0000 μB/atom. The total energy is -4.863 eV per atom. Its formation energy is -415 meV/atom.


Record 3
Entry from Alexandria via LeMat-Bulk: crystalline NaSn5Pd3 at its relaxed geometry (PBE).

Unit cell a=7.3516 b=7.3516 c=10.1986 alpha=115.09 beta=115.09 gamma=78.19
Fractional positions:
Na  0.2252  0.2252  0.2947
Na  0.7748  0.7748  0.7053
Sn  0.2103  0.6623  0.6156
Sn  0.2166  0.2166  0.9671
Sn  0.2256  0.2256  0.6387
Sn  0.2886  0.7114  0.0000
Sn  0.3377  0.7897  0.3844
Sn  0.6623  0.2103  0.6156
Sn  0.7114  0.2886  0.0000
Sn  0.7744  0.7744  0.3613
Sn  0.7834  0.7834  0.0329
Sn  0.7897  0.3377  0.3844
Pd  0.0000  0.0000  0.0000
Pd  0.0112  0.0112  0.6669
Pd  0.4908  0.4908  0.1845
Pd  0.5000  0.5000  0.5000
Pd  0.5092  0.5092  0.8155
Pd  0.9888  0.9888  0.3331

The calculated volume is 25.105 A^3/atom. The theoretical density comes out at 6.88 g/cm³. The magnetization is 0.0000 μB/atom. The total energy is -4.345 eV per atom. Its formation energy is -244 meV/atom.


calculated volume of number 2 (NaSn3Pd6)? 19.236 A^3/atom